[1]
The following is a GGA-PBE calculation of a geometry-optimized TcOsPt3 structure, from the Alexandria database.

```
TcOsPt3
1.0
-2.046 -4.034 -1.657
2.631 0.318 -4.023
3.478 -2.614 2.069
Tc Os Pt
1 1 3
Cartesian
2.032 -3.165 -1.806
0.000 0.000 0.000
1.739 -1.307 1.034
1.316 0.159 -2.012
-1.023 -2.017 -0.828
```

Properties
Relative energy among the computed polymorphs (eV/atom): 0.000



[2]
The following is a GGA-PBE calculation of a geometry-optimized RbNaTa2Bi structure, from the Alexandria database.

```
RbNaTa2Bi
1.0
5.041 0.000 0.000
0.000 6.071 0.000
0.000 0.000 5.041
Na Rb Ta Bi
1 1 2 1
Cartesian
2.520 3.036 2.520
0.000 0.000 0.000
2.520 0.000 0.000
0.000 0.000 2.520
0.000 3.036 0.000
```

Properties
Relative energy among the computed polymorphs (eV/atom): 0.513



[3]
The following is a GGA-PBE calculation of a geometry-optimized Th3Si4 structure, from the Alexandria database.

```
Th3Si4
1.0
-4.027 0.602 0.683
-0.935 -3.255 -2.644
2.798 -4.350 7.856
Si Th
4 3
Cartesian
0.227 -4.059 4.917
-0.426 -2.371 -0.421
-2.391 -2.943 0.978
-1.738 -4.631 6.316
-2.013 0.301 0.341
-2.280 -4.923 3.375
0.116 -2.080 2.519
```

Properties
Uncorrected formation energy (meV per atom): -663



[4]
The following is a GGA-PBE calculation of a geometry-optimized Ba2LiMgHg2 structure, from the Alexandria database.

```
Ba2LiMgHg2
1.0
6.642 0.000 0.000
0.000 6.733 0.000
-3.321 -3.367 8.949
Mg Hg Li Ba
2 4 2 4
Cartesian
3.321 5.050 0.000
3.321 1.683 0.000
4.966 0.000 1.825
-1.645 3.367 7.125
1.676 3.367 1.825
1.645 0.000 7.125
0.000 5.050 0.000
0.000 1.683 0.000
-1.689 0.000 5.954
5.010 3.367 2.996
1.632 0.000 2.996
1.689 3.367 5.954
```



[5]
The following is a GGA-PBE calculation of a geometry-optimized NiS2N2 structure, from the Alexandria database.

```
NiS2N2
1.0
3.358 0.000 0.000
-1.679 2.833 -0.665
0.000 -1.560 11.843
N S Ni
2 2 1
Cartesian
0.000 -0.716 6.474
1.679 1.989 4.703
0.000 0.062 10.266
1.679 1.211 0.911
0.000 -1.560 11.843
```

Properties
Uncorrected formation energy (meV per atom): -111
Relative energy among the computed polymorphs (eV/atom): 0.000



[6]
The following is a GGA-PBE calculation of a geometry-optimized Ce3Tl4NiS8 structure, from the Alexandria database.

```
Ce3Tl4NiS8
1.0
-5.506 5.694 -0.779
-4.191 -4.880 -6.046
1.241 -3.363 7.308
Tl Ce Ni S
4 3 1 8
Cartesian
0.620 -1.681 3.654
0.000 0.000 0.000
-2.133 1.166 3.264
-2.753 2.847 -0.390
-1.475 -4.121 0.631
-4.848 0.407 -3.413
-4.228 -1.275 0.241
-2.095 -2.440 -3.023
-4.716 1.187 1.353
-5.818 -2.258 2.340
-2.801 -5.378 2.767
-2.045 -1.715 1.917
-6.412 -0.834 -1.435
-2.638 -0.291 -1.857
-5.655 2.829 -2.285
-3.740 -3.736 -0.870
```

Properties
Uncorrected formation energy (meV per atom): -1077



no.,size of the total moment (μB/atom),uncorrected energy (eV per cell)
1,0.8467,-31.2
2,0.2373,-16.5
3,0.0000,-48.6
4,0.0000,-20.2
5,0.0000,-31.2
6,0.1773,-83.3